Density functional theory data (PBE) for a geometry-optimized SrPmPd structure. Values from VASP.

Structure (Quantum ESPRESSO input):
```
&SYSTEM
  ibrav = 0, nat = 6, ntyp = 3
/
ATOMIC_SPECIES
Pm 145.00 Pm.upf
Pd 106.42 Pd.upf
Sr 87.62 Sr.upf
CELL_PARAMETERS angstrom
-2.2579 3.1203 0.6510
1.2599 -0.5725 7.1203
5.9183 4.0722 1.0894
ATOMIC_POSITIONS angstrom
Pm 2.4181 3.8363 4.6801
Pm 3.4824 3.8755 8.1867
Pd 5.0436 3.0581 5.7940
Pd 4.5125 3.3298 2.6497
Sr 1.4963 0.3350 6.5004
Sr -0.6428 1.9000 3.2571
```

formation enthalpy at 0 K = -1.3 eV/f.u.
space-group type = P1 (1)

=====

Density functional theory data (PBE) for a geometry-optimized Rb3Tl4Cd2 structure. Values from VASP.

Structure (Quantum ESPRESSO input):
```
&SYSTEM
  ibrav = 0, nat = 9, ntyp = 3
/
ATOMIC_SPECIES
Tl 204.38 Tl.upf
Rb 85.47 Rb.upf
Cd 112.41 Cd.upf
CELL_PARAMETERS angstrom
5.2086 0.0000 0.0000
-2.6043 6.8723 -0.1627
0.0000 -3.2280 10.4232
ATOMIC_POSITIONS angstrom
Tl 0.0000 0.8937 9.5437
Tl 0.0000 -0.6314 6.4768
Tl 2.6043 2.7506 0.7168
Tl 2.6043 4.2757 3.7838
Rb 2.6043 0.4037 3.8158
Rb 0.0000 0.0000 0.0000
Rb 0.0000 3.2406 6.4448
Cd 0.0000 3.5886 2.3078
Cd 2.6043 0.0557 7.9527
```

formation enthalpy at 0 K = -0.6 eV/f.u.
space-group type = C2/m (12)

=====

Density functional theory data (PBE) for a geometry-optimized LiAcCd2O4 structure. Values from VASP.

Structure (Quantum ESPRESSO input):
```
&SYSTEM
  ibrav = 0, nat = 16, ntyp = 4
/
ATOMIC_SPECIES
O 16.00 O.upf
Cd 112.41 Cd.upf
Ac 227.00 Ac.upf
Li 6.94 Li.upf
CELL_PARAMETERS angstrom
-1.2585 1.5521 2.8999
-4.3158 0.0847 -4.0567
-3.6800 -9.9121 3.7081
ATOMIC_POSITIONS angstrom
O 0.0000 0.0000 0.0000
O -5.1434 -5.0475 2.6078
O -3.2006 -0.7759 -0.9738
O -1.8400 -4.9560 1.8540
O -7.0982 -6.6789 0.4942
O -6.0537 -7.4994 3.5250
O -2.1561 -1.5963 2.0571
O -4.1109 -3.2278 -0.0565
Cd -2.1061 0.4968 0.9585
Cd -3.5721 -3.4517 2.4356
Cd -7.1481 -8.7721 1.5928
Cd -5.6822 -4.8235 0.1157
Ac -3.8378 -7.2465 2.2129
Ac -5.4165 -1.0288 0.3384
Li -6.7653 -6.0704 2.4513
Li -2.4890 -2.2049 0.0999
```

space-group type = Cmcm (63)
E = -5.320 eV/atom

=====

Density functional theory data (PBE) for a geometry-optimized Sr2MgPb structure. Values from VASP.

Structure (Quantum ESPRESSO input):
```
&SYSTEM
  ibrav = 0, nat = 4, ntyp = 3
/
ATOMIC_SPECIES
Pb 207.20 Pb.upf
Mg 24.30 Mg.upf
Sr 87.62 Sr.upf
CELL_PARAMETERS angstrom
11.0593 -0.0080 -0.0047
10.2852 4.0648 -0.0047
10.2852 1.9549 3.5639
ATOMIC_POSITIONS angstrom
Pb 24.0829 4.5773 2.7064
Mg 15.3900 2.9251 1.7295
Sr 7.4746 1.4207 0.8400
Sr 0.4972 0.0945 0.0559
```

formation enthalpy at 0 K = -0.2 eV/f.u.
space-group type = R3m (160)

=====

Density functional theory data (PBE) for a geometry-optimized ScCuSbAu structure. Values from VASP.

Structure (Quantum ESPRESSO input):
```
&SYSTEM
  ibrav = 0, nat = 4, ntyp = 4
/
ATOMIC_SPECIES
Au 196.97 Au.upf
Sb 121.76 Sb.upf
Sc 44.96 Sc.upf
Cu 63.55 Cu.upf
CELL_PARAMETERS angstrom
-4.1293 1.6997 -1.6775
-3.7794 0.3618 2.8878
-1.5461 4.2971 1.3778
ATOMIC_POSITIONS angstrom
Au 0.0000 0.0000 0.0000
Sb -4.7274 3.1793 1.2940
Sc -7.0911 4.7690 1.9410
Cu -2.3637 1.5897 0.6470
```

space-group type = F-43m (216)
E = -4.807 eV/atom

=====

Density functional theory data (PBE) for a geometry-optimized CePm2Ir structure. Values from VASP.

Structure (Quantum ESPRESSO input):
```
&SYSTEM
  ibrav = 0, nat = 4, ntyp = 3
/
ATOMIC_SPECIES
Ce 140.12 Ce.upf
Ir 192.22 Ir.upf
Pm 145.00 Pm.upf
CELL_PARAMETERS angstrom
-1.7898 -1.9258 -3.9590
-2.7514 -3.8654 0.2717
-6.5293 1.6759 -0.7158
ATOMIC_POSITIONS angstrom
Ce -5.5088 -2.0767 -2.2042
Ir -3.0577 -3.8391 -2.4551
Pm -5.6765 1.0627 -0.8030
Pm -2.3629 -1.3198 -1.1422
```

formation enthalpy at 0 K = -0.6 eV/f.u.
space-group type = R3m (160)

=====

Number 1: V 33.27 Å³/atom, total moment 0.00 μB per formula unit. Number 2: V 41.15 Å³/atom, total moment 0.00 μB per formula unit. Number 3: V 13.95 Å³/atom, total moment 0.00 μB per formula unit. Number 4: V 40.18 Å³/atom, total moment 0.00 μB per formula unit. Number 5: V 19.19 Å³/atom, total moment 0.00 μB per formula unit. Number 6: V 30.31 Å³/atom, total moment 1.33 μB per formula unit.